Entry 1:
A relaxed structure of PuThCoPt, computed with PBE.

Unit cell a=7.001 b=7.001 c=7.001 alpha=90.00 beta=90.00 gamma=90.00
Space group F-43m (No. 216)
Inequivalent atoms, fractional coordinates:
Pu1 0.000 0.000 0.000 [4 per cell]
Th1 0.000 0.000 0.500 [4 per cell]
Co1 0.250 0.250 0.750 [4 per cell]
Pt1 0.250 0.250 0.250 [4 per cell]

V = 343.22 Å³ per cell
Formation enthalpy at 0 K = -410 meV/atom

Entry 2:
A relaxed structure of PuZrCoPt, computed with PBE.

Unit cell a=6.718 b=6.718 c=6.718 alpha=90.00 beta=90.00 gamma=90.00
Space group F-43m (No. 216)
Inequivalent atoms, fractional coordinates:
Pu1 0.000 0.000 0.000 [4 per cell]
Zr1 0.000 0.000 0.500 [4 per cell]
Co1 0.250 0.250 0.750 [4 per cell]
Pt1 0.250 0.250 0.250 [4 per cell]

V = 303.26 Å³ per cell
Formation enthalpy at 0 K = -353 meV/atom

Entry 3:
A relaxed structure of RbCoPt2, computed with PBE.

Unit cell a=5.216 b=5.216 c=16.078 alpha=90.00 beta=90.00 gamma=90.00
Space group I-42d (No. 122)
Inequivalent atoms, fractional coordinates:
Rb1 0.000 0.000 0.000 [4 per cell]
Co1 0.000 0.000 0.500 [4 per cell]
Pt1 0.037 0.250 0.625 [8 per cell]

V = 437.41 Å³ per cell
Formation enthalpy at 0 K = 402 meV/atom
E above lowest polymorph = 0.00 eV per formula unit

Entry 4:
A relaxed structure of Rb2CoPt2, computed with PBE.

Unit cell a=6.509 b=6.509 c=5.700 alpha=90.00 beta=90.00 gamma=90.00
Space group P4/mbm (No. 127)
Inequivalent atoms, fractional coordinates:
Rb1 0.179 0.321 0.000 [4 per cell]
Co1 0.000 0.000 0.500 [2 per cell]
Pt1 0.142 0.642 0.500 [4 per cell]

V = 241.51 Å³ per cell
Formation enthalpy at 0 K = 281 meV/atom

Entry 5:
A relaxed structure of RbCoPt2, computed with PBE.

Unit cell a=6.727 b=6.727 c=6.727 alpha=90.00 beta=90.00 gamma=90.00
Space group Fm-3m (No. 225)
Inequivalent atoms, fractional coordinates:
Rb1 0.000 0.000 0.000 [4 per cell]
Co1 0.000 0.000 0.500 [4 per cell]
Pt1 0.250 0.250 0.250 [8 per cell]

V = 304.46 Å³ per cell
Formation enthalpy at 0 K = 990 meV/atom
E above lowest polymorph = 2.35 eV per formula unit

Entry 6:
A relaxed structure of RbCoPt2Rh, computed with PBE.

Unit cell a=5.025 b=5.025 c=4.663 alpha=90.00 beta=90.00 gamma=90.00
Space group P4/mmm (No. 123)
Inequivalent atoms, fractional coordinates:
Rb1 0.000 0.000 0.000 [1 per cell]
Co1 0.500 0.500 0.000 [1 per cell]
Pt1 0.000 0.500 0.500 [2 per cell]
Rh1 0.500 0.500 0.500 [1 per cell]

V = 117.75 Å³ per cell
Formation enthalpy at 0 K = 869 meV/atom

Q: Which formula does entry 3 have?
A: RbCoPt2

Q: What is the formation enthalpy at 0 K in the fifth record?
A: 990 meV/atom